1.
{
  "formula": "BeReNi2",
  "functional": "PBEsol",
  "state": "relaxed",
  "spacegroup": "Immm",
  "energy_ev_per_fu": -29.8,
  "lattice_angstrom": [[-0.446, 1.484, -2.163], [-3.173, -2.275, -0.906], [-0.528, 2.805, 3.670]],
  "species": ["Ni", "Ni", "Be", "Re"],
  "frac_coords": [[0.775, 0.775, 0.549], [0.225, 0.225, 0.451], [0.500, 0.000, 0.000], [0.000, 0.500, 0.000]]
}



2.
{
  "formula": "Be2ReNi",
  "functional": "PBEsol",
  "state": "relaxed",
  "spacegroup": "Pmmm",
  "energy_ev_per_fu": -28.2,
  "e_above_lowest_polymorph_ev_per_atom": 0.000,
  "lattice_angstrom": [[-1.471, -1.938, 0.738], [2.301, -1.642, 0.273], [0.523, 1.608, 5.265]],
  "species": ["Be", "Re", "Ni", "Be"],
  "frac_coords": [[0.000, 0.000, 0.787], [0.500, 0.500, 0.500], [0.500, 0.500, 0.000], [0.000, 0.000, 0.213]]
}



3.
{
  "formula": "Be2NiRh2",
  "functional": "PBEsol",
  "state": "relaxed",
  "spacegroup": "P4/mbm",
  "energy_ev_per_fu": -32.5,
  "lattice_angstrom": [[-0.514, -2.806, -0.473], [5.207, -0.452, -2.975], [2.813, -1.379, 5.133]],
  "species": ["Rh", "Rh", "Be", "Be", "Be", "Rh", "Rh", "Be", "Ni", "Ni"],
  "frac_coords": [[0.500, 0.330, 0.170], [0.500, 0.170, 0.670], [0.000, 0.372, 0.872], [0.000, 0.628, 0.128], [0.000, 0.128, 0.372], [0.500, 0.670, 0.830], [0.500, 0.830, 0.330], [0.000, 0.872, 0.628], [0.000, 0.500, 0.500], [0.000, 0.000, 0.000]]
}



4.
{
  "formula": "Be2NiRh",
  "functional": "PBEsol",
  "state": "relaxed",
  "spacegroup": "P4/mmm",
  "energy_ev_per_fu": -24.5,
  "lattice_angstrom": [[-2.687, -0.205, -0.105], [-0.043, -0.762, 2.587], [-0.443, 5.052, 1.480]],
  "species": ["Rh", "Be", "Be", "Ni"],
  "frac_coords": [[0.500, 0.500, 0.000], [0.000, 0.000, 0.741], [0.000, 0.000, 0.259], [0.500, 0.500, 0.500]]
}



| no. | E_form (meV/atom) | total magnetization (Bohr magnetons per cell) |
| --- | --- | --- |
| 1 | -49 | 0.00 |
| 2 | -182 | 0.00 |
| 3 | -407 | 1.50 |
| 4 | -558 | 0.00 |